# 1
VASP calculation (PBE) on an optimized crystal structure of LiHf2Rh3.

Structure (POSCAR):
```
LiHf2Rh3
1.0
-0.177 -0.917 3.099
2.463 -2.047 -0.466
5.924 6.604 2.293
Li Hf Rh
1 2 3
Direct
0.500 0.500 0.500
0.500 0.500 0.816
0.500 0.500 0.184
0.000 0.000 0.000
0.000 0.000 0.657
0.000 0.000 0.343
```

Computed properties:
Magnetization in μB per cell: 0.00
Formation energy from the elements in eV per atom: -0.80
V in Å³/atom: 16.0
SG: No. 123

# 2
VASP calculation (PBE) on an optimized crystal structure of Li2HfRh3.

Structure (POSCAR):
```
Li2HfRh3
1.0
-1.036 3.750 -1.876
-2.242 -1.397 3.417
3.345 2.542 3.233
Li Hf Rh
2 1 3
Direct
0.667 0.333 0.338
0.333 0.667 0.662
0.000 0.000 0.000
0.000 0.000 0.500
0.667 0.333 0.820
0.333 0.667 0.180
```

Computed properties:
Magnetization in μB per cell: 0.00
Formation energy from the elements in eV per atom: -0.51
V in Å³/atom: 14.3
SG: No. 164

# 3
VASP calculation (PBE) on an optimized crystal structure of LiHf2Rh2.

Structure (POSCAR):
```
LiHf2Rh2
1.0
-5.587 2.960 4.541
0.338 -6.319 4.535
2.116 1.350 1.723
Rh Hf Li
4 4 2
Direct
0.146 0.646 0.500
0.646 0.854 0.500
0.854 0.354 0.500
0.354 0.146 0.500
0.351 0.851 0.000
0.851 0.649 0.000
0.649 0.149 0.000
0.149 0.351 0.000
0.000 0.000 0.000
0.500 0.500 0.000
```

Computed properties:
Magnetization in μB per cell: 0.00
Relative energy among the computed polymorphs in eV/f.u.: 0.42
Formation energy from the elements in eV per atom: -0.53
V in Å³/atom: 18.5
SG: No. 127